# 1
LaZnW | PBEsol | relaxed

Summary:
Energy above the lowest structure with this stoichiometry = 0.1293 eV per atom
Magnetic moment = 0.0000 μB per atom

Cell: 4.912 4.912 2.884 Å, 90.00 90.00 120.00°
Positions (direct):
1 La 0.000 0.000 0.000
2 Zn 0.667 0.333 0.500
3 W 0.333 0.667 0.500

# 2
LaY4 | PBEsol | relaxed

Summary:
Energy above the lowest structure with this stoichiometry = 0.0117 eV per atom
Magnetic moment = 0.0000 μB per atom

Cell: 6.127 6.127 6.127 Å, 99.65 99.65 131.67°
Positions (direct):
1 La 0.000 0.000 0.000
2 Y 0.199 0.599 0.799
3 Y 0.401 0.199 0.600
4 Y 0.599 0.801 0.400
5 Y 0.801 0.401 0.201

# 3
LaY3 | PBEsol | relaxed

Summary:
DFT total energy = -6.43 eV per atom
Magnetic moment = 0.0001 μB per atom

Cell: 3.556 3.556 9.973 Å, 90.00 90.00 90.00°
Positions (direct):
1 La 0.000 0.000 0.000
2 Y 0.000 0.000 0.500
3 Y 0.500 0.500 0.254
4 Y 0.500 0.500 0.746

# 4
LaY3 | PBEsol | relaxed

Summary:
DFT total energy = -6.44 eV per atom
Magnetic moment = 0.0002 μB per atom

Cell: 11.700 11.700 11.700 Å, 17.44 17.44 17.44°
Positions (direct):
1 La 0.000 0.000 0.000
2 Y 0.249 0.249 0.249
3 Y 0.500 0.500 0.500
4 Y 0.751 0.751 0.751

# 5
LaY2 | PBEsol | relaxed

Summary:
Energy above the lowest structure with this stoichiometry = 0.0097 eV per atom
Magnetic moment = 0.0000 μB per atom

Cell: 7.980 7.980 5.044 Å, 90.00 90.00 143.38°
Positions (direct):
1 La 0.082 0.918 0.750
2 La 0.918 0.082 0.250
3 Y 0.249 0.751 0.250
4 Y 0.415 0.585 0.750
5 Y 0.585 0.415 0.250
6 Y 0.751 0.249 0.750

# 6
LaY3 | PBEsol | relaxed

Summary:
DFT total energy = -6.42 eV per atom
Magnetic moment = 0.0001 μB per atom

Cell: 5.015 5.015 5.015 Å, 90.00 90.00 90.00°
Positions (direct):
1 La 0.000 0.000 0.000
2 Y 0.000 0.500 0.500
3 Y 0.500 0.000 0.500
4 Y 0.500 0.500 0.000